(1)
Here is NbGaAsO after structural relaxation from OQMD via LeMat-Bulk. Energies are from PBE.

Lattice parameters (Å, degrees): 3.515 3.515 10.222 90.00 90.00 90.00
Site moments in Bohr magnetons follow the coordinates.
Atoms (fractional coordinates):
As (0.000, 0.500, 0.254)  -0.03
As (0.500, 0.000, 0.746)  -0.03
Ga (0.000, 0.000, 0.500)  -0.01
Ga (0.500, 0.500, 0.500)  -0.01
Nb (0.500, 0.000, 0.125)  0.35
Nb (0.000, 0.500, 0.875)  0.35
O (0.000, 0.000, 0.000)  0.00
O (0.500, 0.500, 0.000)  0.00

Computed properties:
Crystal system: tetragonal
ΔE to the lowest computed polymorph: 55.2 meV per atom
Space group: P4/nmm


(2)
Here is NbCdGaFe after structural relaxation from OQMD via LeMat-Bulk. Energies are from PBE.

Lattice parameters (Å, degrees): 4.479 4.479 4.479 60.00 60.00 60.00
Atoms (fractional coordinates):
Cd (0.250, 0.250, 0.250)
Fe (0.750, 0.750, 0.750)
Ga (0.000, 0.000, 0.000)
Nb (0.500, 0.500, 0.500)

Computed properties:
Crystal system: cubic
ΔE to the lowest computed polymorph: 0.0 meV per atom
Space group: F-43m


(3)
Here is Zn3In after structural relaxation from OQMD via LeMat-Bulk. Energies are from PBE.

Lattice parameters (Å, degrees): 5.888 5.909 4.754 90.00 90.00 120.02
Atoms (fractional coordinates):
In (0.000, 0.000, 0.000)
In (0.333, 0.667, 0.500)
Zn (0.509, 0.018, 0.000)
Zn (0.509, 0.491, 0.000)
Zn (0.982, 0.491, 0.000)
Zn (0.351, 0.176, 0.500)
Zn (0.824, 0.176, 0.500)
Zn (0.824, 0.648, 0.500)

Computed properties:
Crystal system: orthorhombic
Space group: Cmcm


(4)
Here is NbB4As after structural relaxation from OQMD via LeMat-Bulk. Energies are from PBE.

Lattice parameters (Å, degrees): 3.074 3.074 7.286 90.00 90.00 120.00
Atoms (fractional coordinates):
As (0.000, 0.000, 0.500)
B (0.667, 0.333, 0.234)
B (0.333, 0.667, 0.234)
B (0.667, 0.333, 0.766)
B (0.333, 0.667, 0.766)
Nb (0.000, 0.000, 0.000)

Computed properties:
Crystal system: hexagonal
ΔE to the lowest computed polymorph: 0.0 meV per atom
Space group: P6/mmm


(5)
Here is HoTmCN2O2 after structural relaxation from OQMD via LeMat-Bulk. Energies are from PBE.

Lattice parameters (Å, degrees): 3.657 3.657 8.096 90.00 90.00 120.00
Atoms (fractional coordinates):
C (0.000, 0.000, 0.001)
Ho (0.667, 0.333, 0.677)
N (0.000, 0.000, 0.154)
N (0.000, 0.000, 0.849)
O (0.667, 0.333, 0.395)
O (0.333, 0.667, 0.601)
Tm (0.333, 0.667, 0.324)

Computed properties:
Crystal system: trigonal
Space group: P3m1


(6)
Here is Ba2Ag after structural relaxation from OQMD via LeMat-Bulk. Energies are from PBE.

Lattice parameters (Å, degrees): 7.163 7.163 7.163 60.00 60.00 60.00
Atoms (fractional coordinates):
Ag (0.000, 0.000, 0.000)
Ag (0.250, 0.250, 0.250)
Ba (0.625, 0.625, 0.125)
Ba (0.625, 0.125, 0.625)
Ba (0.125, 0.625, 0.625)
Ba (0.625, 0.625, 0.625)

Computed properties:
Crystal system: cubic
Space group: Fd-3m


(7)
Here is MgTePtO after structural relaxation from OQMD via LeMat-Bulk. Energies are from PBE.

Lattice parameters (Å, degrees): 4.341 4.341 8.595 90.00 90.00 90.00
Atoms (fractional coordinates):
Mg (0.750, 0.750, 0.147)
Mg (0.250, 0.250, 0.853)
O (0.250, 0.250, 0.067)
O (0.750, 0.750, 0.933)
Pt (0.250, 0.250, 0.299)
Pt (0.750, 0.750, 0.701)
Te (0.750, 0.250, 0.500)
Te (0.250, 0.750, 0.500)

Computed properties:
Crystal system: tetragonal
ΔE to the lowest computed polymorph: 836.9 meV per atom
Space group: P4/nmm


(8)
Here is KTaCuS3 after structural relaxation from OQMD via LeMat-Bulk. Energies are from PBE.

Lattice parameters (Å, degrees): 11.054 3.597 11.860 90.00 90.00 90.00
Site moments in Bohr magnetons follow the coordinates.
Atoms (fractional coordinates):
Cu (0.747, 0.000, 0.218)  0.04
Cu (0.247, 0.000, 0.282)  0.04
Cu (0.753, 0.500, 0.718)  0.04
Cu (0.253, 0.500, 0.782)  0.04
K (0.839, 0.500, 0.016)  0.00
K (0.339, 0.500, 0.484)  0.00
K (0.661, 0.000, 0.516)  0.00
K (0.161, 0.000, 0.984)  0.00
S (0.591, 0.000, 0.073)  -0.01
S (0.237, 0.500, 0.165)  0.03
S (0.959, 0.000, 0.194)  -0.01
S (0.459, 0.000, 0.306)  -0.01
S (0.737, 0.500, 0.335)  0.03
S (0.091, 0.000, 0.427)  -0.01
S (0.909, 0.500, 0.573)  -0.01
S (0.263, 0.000, 0.665)  0.03
S (0.541, 0.500, 0.694)  -0.01
S (0.041, 0.500, 0.806)  -0.01
S (0.763, 0.000, 0.835)  0.03
S (0.409, 0.500, 0.927)  -0.01
Ta (0.452, 0.500, 0.158)  0.47
Ta (0.952, 0.500, 0.342)  0.47
Ta (0.048, 0.000, 0.658)  0.47
Ta (0.548, 0.000, 0.842)  0.47

Computed properties:
Crystal system: orthorhombic
Space group: Pnma


Calculated total energy per entry: -6.48; -5.33; -1.52; -6.82; -8.62; -1.70; -4.32; -5.57 eV/atom